Crystalline Nb2Cu2Rh at its relaxed geometry, computed with GGA-PBE.

The structure in CIF format:
```
data_Nb2Cu2Rh
_symmetry_space_group_name_H-M 'P 1'
_symmetry_Int_Tables_number 1
_symmetry_space_group_name_Hall 'P 1'
_cell_length_a 6.657
_cell_length_b 6.657
_cell_length_c 3.412
_cell_angle_alpha 90.00
_cell_angle_beta 90.00
_cell_angle_gamma 90.00
loop_
_atom_site_label
_atom_site_type_symbol
_atom_site_fract_x
_atom_site_fract_y
_atom_site_fract_z
Rh1 Rh 0.000 0.000 0.000
Rh2 Rh 0.500 0.500 0.000
Cu1 Cu 0.127 0.373 0.000
Cu2 Cu 0.627 0.127 0.000
Cu3 Cu 0.873 0.627 0.000
Cu4 Cu 0.373 0.873 0.000
Nb1 Nb 0.173 0.673 0.500
Nb2 Nb 0.327 0.173 0.500
Nb3 Nb 0.827 0.327 0.500
Nb4 Nb 0.673 0.827 0.500
```

Results
total magnetic moment = 0.00 μB/f.u.
VASP energy = -0.261 Ha/atom